Material: NaMgV
Method: DFT, PBE-GGA
State: relaxed

Properties
Its formation energy is 0.854 eV per atom. The value obtained for the relative energy among the computed polymorphs is 63.0 kJ per mole of atoms. The volume comes out at 275 Å³ per cell. Its energy is -3.157 eV/atom. As for the crystal system: orthorhombic.

```
data_NaMgV
_symmetry_space_group_name_H-M 'C m c m'
_symmetry_Int_Tables_number 63
_symmetry_space_group_name_Hall '-C 2c 2'
_cell_length_a 5.108
_cell_length_b 8.831
_cell_length_c 6.107
_cell_angle_alpha 90.00
_cell_angle_beta 90.00
_cell_angle_gamma 90.00
loop_
_atom_site_label
_atom_site_type_symbol
_atom_site_fract_x
_atom_site_fract_y
_atom_site_fract_z
Na1 Na 0.000 0.167 0.250
Mg1 Mg 0.000 0.500 0.000
V1 V 0.000 0.167 0.750
```